VASP calculation (PBE) on an optimized crystal structure of AcPrAgAu.

Output
The final energy comes out at -0.156 Ha/atom. For the spin magnetization, the calculation gives 0.000 μB per atom. For the formation energy, the calculation gives -487 meV per atom.

Cell: 5.445 5.445 5.445 Å, 60.00 60.00 60.00°
Element x y z (fractional)
Pr  0.000  0.000  0.000
Ac  0.500  0.500  0.500
Au  0.750  0.750  0.750
Ag  0.250  0.250  0.250

VASP calculation (PBE) on an optimized crystal structure of RbBaN2.

Output
The final energy comes out at -0.147 Ha/atom. The energy relative to the elements, uncorrected is 874 meV/atom. For the spin magnetization, the calculation gives 0.750 μB per atom.

Cell: 8.320 8.320 8.320 Å, 29.66 29.66 29.66°
Site moments in Bohr magnetons follow the coordinates.
Element x y z (fractional)
Ba  0.500  0.500  0.500  0.04
Rb  0.000  0.000  0.000  0.03
N  0.887  0.887  0.887  0.98
N  0.113  0.113  0.113  0.98

VASP calculation (PBE) on an optimized crystal structure of Na8TlGe2.

Output
The final energy comes out at -0.075 Ha/atom. For the spin magnetization, the calculation gives 0.000 μB per atom. For the formation energy, the calculation gives -20 meV per atom.

Cell: 4.889 8.897 8.693 Å, 120.76 106.33 90.00°
Element x y z (fractional)
Na  0.335  0.548  0.671
Na  0.665  0.878  0.330
Na  0.847  0.846  0.693
Na  0.000  0.323  0.999
Na  0.153  0.154  0.307
Na  0.335  0.122  0.670
Na  0.665  0.452  0.329
Na  0.000  0.677  0.001
Tl  0.500  0.000  0.000
Ge  0.798  0.299  0.597
Ge  0.202  0.701  0.403